The following is a DFT calculation (SCAN) of a crystal of BaAu2Br relaxed with PBEsol.

```
data_BaAu2Br
_chemical_formula_sum 'Ba2 Au4 Br2'
_space_group_name_H-M_alt 'I 4/m m m'
_space_group_IT_number 139
_space_group_name_Hall '-I 4 2'
_cell_length_a 4.284
_cell_length_b 4.284
_cell_length_c 11.439
_cell_angle_alpha 90.00
_cell_angle_beta 90.00
_cell_angle_gamma 90.00
loop_
_atom_site_label
_atom_site_type_symbol
_atom_site_fract_x
_atom_site_fract_y
_atom_site_fract_z
_atom_site_occupancy
Ba1 Ba 0.000 0.000 0.000 1
Au1 Au 0.000 0.500 0.250 1
Br1 Br 0.000 0.000 0.500 1
```

Total energy = -200.64 eV per formula unit
Uncorrected formation energy = -3.32 eV per formula unit



The following is a DFT calculation (SCAN) of a crystal of BaAuBr2 relaxed with PBEsol.

```
data_BaAuBr2
_chemical_formula_sum 'Ba1 Au1 Br2'
_space_group_name_H-M_alt 'P m m m'
_space_group_IT_number 47
_cell_length_a 4.227
_cell_length_b 4.995
_cell_length_c 5.094
_cell_angle_alpha 90.00
_cell_angle_beta 90.00
_cell_angle_gamma 90.00
loop_
_space_group_symop_operation_xyz
'x,y,z'
'-x,-y,-z'
'-x,-y,z'
'x,y,-z'
'x,-y,-z'
'-x,y,z'
'-x,y,-z'
'x,-y,z'
loop_
_atom_site_label
_atom_site_type_symbol
_atom_site_fract_x
_atom_site_fract_y
_atom_site_fract_z
_atom_site_occupancy
Ba1 Ba 0.000 0.000 0.000 1
Au1 Au 0.000 0.500 0.500 1
Br1 Br 0.500 0.000 0.500 1
Br2 Br 0.500 0.500 0.000 1
```

Total energy = -152.42 eV per formula unit
Distance to the lowest polymorph of the same formula = 29 meV per atom
Uncorrected formation energy = -4.80 eV per formula unit



The following is a DFT calculation (SCAN) of a crystal of Ba2AuBr relaxed with PBEsol.

```
data_Ba2AuBr
_chemical_formula_sum 'Ba2 Au1 Br1'
_space_group_name_H-M_alt 'P 4/m m m'
_space_group_IT_number 123
_space_group_name_Hall '-P 4 2'
_cell_length_a 4.664
_cell_length_b 4.664
_cell_length_c 6.667
_cell_angle_alpha 90.00
_cell_angle_beta 90.00
_cell_angle_gamma 90.00
loop_
_atom_site_label
_atom_site_type_symbol
_atom_site_fract_x
_atom_site_fract_y
_atom_site_fract_z
_atom_site_occupancy
Ba1 Ba 0.000 0.000 0.000 1
Ba2 Ba 0.500 0.500 0.500 1
Au1 Au 0.000 0.000 0.500 1
Br1 Br 0.500 0.500 0.000 1
```

Total energy = -173.04 eV per formula unit
Distance to the lowest polymorph of the same formula = 62 meV per atom
Uncorrected formation energy = -5.33 eV per formula unit



The following is a DFT calculation (SCAN) of a crystal of BaMn2AuBr relaxed with PBEsol.

```
data_BaMn2AuBr
_chemical_formula_sum 'Ba1 Mn2 Au1 Br1'
_space_group_name_H-M_alt 'P 4/m m m'
_space_group_IT_number 123
_space_group_name_Hall '-P 4 2'
_cell_length_a 4.632
_cell_length_b 4.632
_cell_length_c 6.026
_cell_angle_alpha 90.00
_cell_angle_beta 90.00
_cell_angle_gamma 90.00
loop_
_atom_site_label
_atom_site_type_symbol
_atom_site_fract_x
_atom_site_fract_y
_atom_site_fract_z
_atom_site_occupancy
Ba1 Ba 0.000 0.000 0.000 1
Mn1 Mn 0.000 0.500 0.500 1
Au1 Au 0.500 0.500 0.000 1
Br1 Br 0.000 0.000 0.500 1
```

Total energy = -163.28 eV per formula unit
Uncorrected formation energy = 1.39 eV per formula unit



The following is a DFT calculation (SCAN) of a crystal of BaAuSeBr2 relaxed with PBEsol.

```
data_BaAuSeBr2
_chemical_formula_sum 'Ba1 Au1 Se1 Br2'
_space_group_name_H-M_alt 'P 4/m m m'
_space_group_IT_number 123
_space_group_name_Hall '-P 4 2'
_cell_length_a 5.240
_cell_length_b 5.240
_cell_length_c 5.218
_cell_angle_alpha 90.00
_cell_angle_beta 90.00
_cell_angle_gamma 90.00
loop_
_atom_site_label
_atom_site_type_symbol
_atom_site_fract_x
_atom_site_fract_y
_atom_site_fract_z
_atom_site_occupancy
Ba1 Ba 0.000 0.000 0.000 1
Au1 Au 0.500 0.500 0.500 1
Se1 Se 0.500 0.500 0.000 1
Br1 Br 0.000 0.500 0.500 1
```

Total energy = -173.26 eV per formula unit
Distance to the lowest polymorph of the same formula = 0 meV per atom
Uncorrected formation energy = -5.55 eV per formula unit



The following is a DFT calculation (SCAN) of a crystal of BaAuSeBr2 relaxed with PBEsol.

```
data_BaAuSeBr2
_chemical_formula_sum 'Ba1 Au1 Se1 Br2'
_space_group_name_H-M_alt 'P 4/m m m'
_space_group_IT_number 123
_space_group_name_Hall '-P 4 2'
_cell_length_a 6.078
_cell_length_b 6.078
_cell_length_c 6.380
_cell_angle_alpha 90.00
_cell_angle_beta 90.00
_cell_angle_gamma 90.00
loop_
_atom_site_label
_atom_site_type_symbol
_atom_site_fract_x
_atom_site_fract_y
_atom_site_fract_z
_atom_site_occupancy
Ba1 Ba 0.000 0.000 0.000 1
Au1 Au 0.500 0.500 0.500 1
Se1 Se 0.000 0.000 0.500 1
Br1 Br 0.000 0.500 0.000 1
```

Total energy = -168.74 eV per formula unit
Distance to the lowest polymorph of the same formula = 904 meV per atom
Uncorrected formation energy = -1.03 eV per formula unit